No. 1
MnSb2TeCl: relaxed, PBE-GGA.

Energy relative to the lowest polymorph listed for this composition: 0.0000 eV/atom
D(E_F): 0.808 states/eV/atom

Lattice parameters (Å, degrees): 5.0841 5.0841 5.0892 90.00 90.00 90.00
With the nearest neighbours (Å) after each atom.
Fractional positions:
Mn1 0.0000 0.0000 0.0000  4 Sb 2.54, 2 Te 2.54
Sb1 0.0000 0.5000 0.0000  2 Mn 2.54
Sb2 0.5000 0.0000 0.0000  2 Mn 2.54
Te1 0.0000 0.0000 0.5000  2 Mn 2.54
Cl1 0.5000 0.5000 0.5000  4 Te 3.60, 8 Sb 3.60


No. 2
TiMnSbCl2: relaxed, PBE-GGA.

Raw total energy: -4.244 eV per atom
D(E_F): 1.318 states/eV/atom

Lattice parameters (Å, degrees): 5.4249 5.4249 5.2887 90.00 90.00 90.00
With the nearest neighbours (Å) after each atom.
Fractional positions:
Ti1 0.0000 0.0000 0.0000  8 Cl 3.79, 4 Mn 3.84
Mn1 0.5000 0.5000 0.0000  2 Sb 2.64
Sb1 0.5000 0.5000 0.5000  2 Mn 2.64, 4 Cl 2.71
Cl1 0.0000 0.5000 0.5000  2 Sb 2.71
Cl2 0.5000 0.0000 0.5000  2 Sb 2.71


No. 3
Mn2TlSbCl8: relaxed, PBE-GGA.

Raw total energy: -4.251 eV per atom
D(E_F): 0.000 states/eV/atom

Lattice parameters (Å, degrees): 7.6724 7.6724 7.8858 96.50 96.50 58.63
With the nearest neighbours (Å) after each atom.
Fractional positions:
Mn1 0.1821 0.1821 0.0855  4 Cl 2.25-2.42
Mn2 0.8179 0.8179 0.9145  4 Cl 2.25-2.42
Tl1 0.0000 0.0000 0.5000  6 Cl 3.06-3.36
Sb1 0.5000 0.5000 0.0000  6 Cl 2.69-2.71
Cl1 0.1488 0.6585 0.7965  1 Mn 2.42
Cl2 0.1716 0.1716 0.7979  1 Mn 2.25
Cl3 0.3415 0.8512 0.2035  1 Mn 2.42
Cl4 0.3557 0.3557 0.2083  1 Mn 2.40
Cl5 0.6443 0.6443 0.7917  1 Mn 2.40
Cl6 0.6585 0.1488 0.7965  1 Mn 2.42
Cl7 0.8284 0.8284 0.2021  1 Mn 2.25
Cl8 0.8512 0.3415 0.2035  1 Mn 2.42


No. 4
ScMn2Cl: relaxed, PBE-GGA.

Energy relative to the lowest polymorph listed for this composition: 0.4593 eV/atom
D(E_F): 0.663 states/eV/atom

Lattice parameters (Å, degrees): 7.5539 7.5539 5.1897 90.00 90.00 90.00
With the nearest neighbours (Å) after each atom.
Fractional positions:
Sc1 0.0000 0.0000 0.0000  2 Cl 2.59
Sc2 0.0000 0.5000 0.2500  2 Cl 2.59
Sc3 0.5000 0.0000 0.7500  2 Cl 2.59
Sc4 0.5000 0.5000 0.5000  2 Cl 2.59
Mn1 0.1981 0.7500 0.6250  2 Cl 2.50, 2 Mn 2.71
Mn2 0.2500 0.1981 0.3750  2 Cl 2.50, 2 Mn 2.71
Mn3 0.2500 0.3019 0.8750  2 Cl 2.50, 2 Mn 2.71
Mn4 0.3019 0.7500 0.1250  2 Cl 2.50, 2 Mn 2.71
Mn5 0.6981 0.2500 0.1250  2 Cl 2.50, 2 Mn 2.71
Mn6 0.7500 0.6981 0.8750  2 Cl 2.50, 2 Mn 2.71
Mn7 0.7500 0.8019 0.3750  2 Cl 2.50, 2 Mn 2.71
Mn8 0.8019 0.2500 0.6250  2 Cl 2.50, 2 Mn 2.71
Cl1 0.0000 0.0000 0.5000  4 Mn 2.50, 2 Sc 2.59
Cl2 0.0000 0.5000 0.7500  4 Mn 2.50, 2 Sc 2.59
Cl3 0.5000 0.0000 0.2500  4 Mn 2.50, 2 Sc 2.59
Cl4 0.5000 0.5000 0.0000  4 Mn 2.50, 2 Sc 2.59


No. 5
ScMnCl: relaxed, PBE-GGA.

Raw total energy: -5.635 eV per atom
D(E_F): 0.883 states/eV/atom

Lattice parameters (Å, degrees): 6.1111 6.1111 6.1111 90.00 90.00 90.00
With the nearest neighbours (Å) after each atom.
Fractional positions:
Sc1 0.0000 0.0000 0.0000  4 Cl 2.65
Sc2 0.0000 0.5000 0.5000  4 Cl 2.65
Sc3 0.5000 0.0000 0.5000  4 Cl 2.65
Sc4 0.5000 0.5000 0.0000  4 Cl 2.65
Mn1 0.0000 0.0000 0.5000  4 Cl 2.65
Mn2 0.0000 0.5000 0.0000  4 Cl 2.65
Mn3 0.5000 0.0000 0.0000  4 Cl 2.65
Mn4 0.5000 0.5000 0.5000  4 Cl 2.65
Cl1 0.2500 0.2500 0.2500  4 Sc 2.65, 4 Mn 2.65
Cl2 0.2500 0.7500 0.7500  4 Sc 2.65, 4 Mn 2.65
Cl3 0.7500 0.2500 0.7500  4 Sc 2.65, 4 Mn 2.65
Cl4 0.7500 0.7500 0.2500  4 Sc 2.65, 4 Mn 2.65


No. 6
Sc3MnCl: relaxed, PBE-GGA.

Energy relative to the lowest polymorph listed for this composition: 0.0748 eV/atom
D(E_F): 2.057 states/eV/atom

Lattice parameters (Å, degrees): 4.6871 4.6871 4.6871 90.00 90.00 90.00
With the nearest neighbours (Å) after each atom.
Fractional positions:
Sc1 0.0000 0.0000 0.5000  2 Cl 2.34
Sc2 0.0000 0.5000 0.0000  2 Cl 2.34
Sc3 0.5000 0.0000 0.0000  2 Cl 2.34
Mn1 0.5000 0.5000 0.5000  12 Sc 3.31
Cl1 0.0000 0.0000 0.0000  6 Sc 2.34


Q: The lowest D(E_F) belongs to which entry?
A: Mn2TlSbCl8


Q: The lowest D(E_F) belongs to which entry?
A: Mn2TlSbCl8


Q: Among the records above, which one has the lowest D(E_F)?
A: Mn2TlSbCl8


Q: What is the D(E_F) in the sixth record?
A: 2.057 states/eV/atom